[1]
The following is a PBE calculation of a geometry-optimized Pm2EuSi structure, from Alexandria.

- ΔE to the lowest computed polymorph: 0.151 eV per atom
- Uncorrected formation energy: -56 meV per atom
- Size of the total moment: 7.5 μB per formula unit
- Final energy: -6.356 eV/atom

Cell and atoms, written as CIF:
```
data_Pm2EuSi
_symmetry_space_group_name_H-M 'F m -3 m'
_symmetry_Int_Tables_number 225
_symmetry_space_group_name_Hall '-F 4 2 3'
_cell_length_a 7.570
_cell_length_b 7.570
_cell_length_c 7.570
_cell_angle_alpha 90.00
_cell_angle_beta 90.00
_cell_angle_gamma 90.00
loop_
_atom_site_label
_atom_site_fract_x
_atom_site_fract_y
_atom_site_fract_z
_atom_site_occupancy
Pm1 0.250 0.250 0.250 1
Eu1 0.000 0.000 0.000 1
Si1 0.000 0.000 0.500 1
```

[2]
The following is a PBE calculation of a geometry-optimized Pm2EuSi structure, from Alexandria.

- ΔE to the lowest computed polymorph: 0.008 eV per atom
- Uncorrected formation energy: -200 meV per atom
- Size of the total moment: 8.4 μB per formula unit
- Final energy: -6.499 eV/atom

Cell and atoms, written as CIF:
```
data_Pm2EuSi
_symmetry_space_group_name_H-M 'P 4/m m m'
_symmetry_Int_Tables_number 123
_symmetry_space_group_name_Hall '-P 4 2'
_cell_length_a 3.856
_cell_length_b 3.856
_cell_length_c 8.121
_cell_angle_alpha 90.00
_cell_angle_beta 90.00
_cell_angle_gamma 90.00
loop_
_atom_site_label
_atom_site_fract_x
_atom_site_fract_y
_atom_site_fract_z
_atom_site_occupancy
Pm1 0.000 0.000 0.184 1
Eu1 0.500 0.500 0.500 1
Si1 0.500 0.500 0.000 1
```

[3]
The following is a PBE calculation of a geometry-optimized PmEu2Si structure, from Alexandria.

- Uncorrected formation energy: -183 meV per atom
- Size of the total moment: 14.8 μB per formula unit
- Final energy: -7.863 eV/atom

Cell and atoms, written as CIF:
```
data_PmEu2Si
_symmetry_space_group_name_H-M 'P 4/m m m'
_symmetry_Int_Tables_number 123
_symmetry_space_group_name_Hall '-P 4 2'
_cell_length_a 4.711
_cell_length_b 4.711
_cell_length_c 5.039
_cell_angle_alpha 90.00
_cell_angle_beta 90.00
_cell_angle_gamma 90.00
loop_
_atom_site_label
_atom_site_fract_x
_atom_site_fract_y
_atom_site_fract_z
_atom_site_occupancy
Pm1 0.000 0.000 0.000 1
Eu1 0.000 0.500 0.500 1
Si1 0.500 0.500 0.000 1
```

[4]
The following is a PBE calculation of a geometry-optimized PmEuTlSi structure, from Alexandria.

- Uncorrected formation energy: -328 meV per atom
- Size of the total moment: 7.1 μB per formula unit
- Final energy: -6.032 eV/atom

Cell and atoms, written as CIF:
```
data_PmEuTlSi
_symmetry_space_group_name_H-M 'F -4 3 m'
_symmetry_Int_Tables_number 216
_symmetry_space_group_name_Hall 'F -4 2 3'
_cell_length_a 7.555
_cell_length_b 7.555
_cell_length_c 7.555
_cell_angle_alpha 90.00
_cell_angle_beta 90.00
_cell_angle_gamma 90.00
loop_
_atom_site_label
_atom_site_fract_x
_atom_site_fract_y
_atom_site_fract_z
_atom_site_occupancy
Pm1 0.000 0.000 0.000 1
Eu1 0.000 0.000 0.500 1
Tl1 0.250 0.250 0.250 1
Si1 0.250 0.250 0.750 1
```

[5]
The following is a PBE calculation of a geometry-optimized PmEuZnSi structure, from Alexandria.

- Uncorrected formation energy: -387 meV per atom
- Size of the total moment: 7.4 μB per formula unit
- Final energy: -5.817 eV/atom

Cell and atoms, written as CIF:
```
data_PmEuZnSi
_symmetry_space_group_name_H-M 'F -4 3 m'
_symmetry_Int_Tables_number 216
_symmetry_space_group_name_Hall 'F -4 2 3'
_cell_length_a 7.300
_cell_length_b 7.300
_cell_length_c 7.300
_cell_angle_alpha 90.00
_cell_angle_beta 90.00
_cell_angle_gamma 90.00
loop_
_atom_site_label
_atom_site_fract_x
_atom_site_fract_y
_atom_site_fract_z
_atom_site_occupancy
Pm1 0.000 0.000 0.000 1
Eu1 0.000 0.000 0.500 1
Zn1 0.250 0.250 0.750 1
Si1 0.250 0.250 0.250 1
```

[6]
The following is a PBE calculation of a geometry-optimized PmSm4Eu structure, from Alexandria.

- Size of the total moment: 7.2 μB per formula unit
- Final energy: -5.417 eV/atom
- ΔE_f: 1.40 eV/f.u.

Cell and atoms, written as CIF:
```
data_PmSm4Eu
_symmetry_space_group_name_H-M 'F -4 3 m'
_symmetry_Int_Tables_number 216
_symmetry_space_group_name_Hall 'F -4 2 3'
_cell_length_a 9.606
_cell_length_b 9.606
_cell_length_c 9.606
_cell_angle_alpha 90.00
_cell_angle_beta 90.00
_cell_angle_gamma 90.00
loop_
_atom_site_label
_atom_site_fract_x
_atom_site_fract_y
_atom_site_fract_z
_atom_site_occupancy
Pm1 0.000 0.000 0.000 1
Sm1 0.127 0.127 0.627 1
Eu1 0.250 0.250 0.250 1
```

[7]
The following is a PBE calculation of a geometry-optimized PmSm2Eu structure, from Alexandria.

- ΔE to the lowest computed polymorph: 0.101 eV per atom
- Size of the total moment: 7.8 μB per formula unit
- Final energy: -5.972 eV/atom
- ΔE_f: 0.58 eV/f.u.

Cell and atoms, written as CIF:
```
data_PmSm2Eu
_symmetry_space_group_name_H-M 'R -3 m'
_symmetry_Int_Tables_number 166
_symmetry_space_group_name_Hall '-R 3 2"'
_cell_length_a 3.6070
_cell_length_b 3.6070
_cell_length_c 38.3420
_cell_angle_alpha 90.00
_cell_angle_beta 90.00
_cell_angle_gamma 120.00
loop_
_atom_site_label
_atom_site_fract_x
_atom_site_fract_y
_atom_site_fract_z
_atom_site_occupancy
Pm1 0.0000 0.0000 0.0000 1
Sm1 0.0000 0.0000 0.4097 1
Eu1 0.0000 0.0000 0.5000 1
```

[8]
The following is a PBE calculation of a geometry-optimized Pm2SmEu structure, from Alexandria.

- ΔE to the lowest computed polymorph: 0.000 eV per atom
- Size of the total moment: 7.5 μB per formula unit
- Final energy: -6.084 eV/atom
- ΔE_f: 0.16 eV/f.u.

Cell and atoms, written as CIF:
```
data_Pm2SmEu
_symmetry_space_group_name_H-M 'P 4/m m m'
_symmetry_Int_Tables_number 123
_symmetry_space_group_name_Hall '-P 4 2'
_cell_length_a 3.689
_cell_length_b 3.689
_cell_length_c 10.504
_cell_angle_alpha 90.00
_cell_angle_beta 90.00
_cell_angle_gamma 90.00
loop_
_atom_site_label
_atom_site_fract_x
_atom_site_fract_y
_atom_site_fract_z
_atom_site_occupancy
Pm1 0.000 0.000 0.237 1
Sm1 0.500 0.500 0.000 1
Eu1 0.500 0.500 0.500 1
```

[9]
The following is a PBE calculation of a geometry-optimized Pm2SmEu structure, from Alexandria.

- ΔE to the lowest computed polymorph: 0.105 eV per atom
- Size of the total moment: 8.4 μB per formula unit
- Final energy: -5.979 eV/atom
- ΔE_f: 0.58 eV/f.u.

Cell and atoms, written as CIF:
```
data_Pm2SmEu
_symmetry_space_group_name_H-M 'F m -3 m'
_symmetry_Int_Tables_number 225
_symmetry_space_group_name_Hall '-F 4 2 3'
_cell_length_a 8.284
_cell_length_b 8.284
_cell_length_c 8.284
_cell_angle_alpha 90.00
_cell_angle_beta 90.00
_cell_angle_gamma 90.00
loop_
_atom_site_label
_atom_site_fract_x
_atom_site_fract_y
_atom_site_fract_z
_atom_site_occupancy
Pm1 0.250 0.250 0.250 1
Sm1 0.000 0.000 0.000 1
Eu1 0.000 0.000 0.500 1
```

[10]
The following is a PBE calculation of a geometry-optimized Pm2SmEu structure, from Alexandria.

- ΔE to the lowest computed polymorph: 0.028 eV per atom
- Size of the total moment: 7.1 μB per formula unit
- Final energy: -6.056 eV/atom
- ΔE_f: 0.27 eV/f.u.

Cell and atoms, written as CIF:
```
data_Pm2SmEu
_symmetry_space_group_name_H-M 'P 4/m m m'
_symmetry_Int_Tables_number 123
_symmetry_space_group_name_Hall '-P 4 2'
_cell_length_a 5.211
_cell_length_b 5.211
_cell_length_c 5.199
_cell_angle_alpha 90.00
_cell_angle_beta 90.00
_cell_angle_gamma 90.00
loop_
_atom_site_label
_atom_site_fract_x
_atom_site_fract_y
_atom_site_fract_z
_atom_site_occupancy
Pm1 0.000 0.500 0.000 1
Sm1 0.000 0.000 0.500 1
Eu1 0.500 0.500 0.500 1
```

[11]
The following is a PBE calculation of a geometry-optimized PmSm2Eu structure, from Alexandria.

- ΔE to the lowest computed polymorph: 0.105 eV per atom
- Size of the total moment: 8.4 μB per formula unit
- Final energy: -5.967 eV/atom
- ΔE_f: 0.60 eV/f.u.

Cell and atoms, written as CIF:
```
data_PmSm2Eu
_symmetry_space_group_name_H-M 'F m -3 m'
_symmetry_Int_Tables_number 225
_symmetry_space_group_name_Hall '-F 4 2 3'
_cell_length_a 8.274
_cell_length_b 8.274
_cell_length_c 8.274
_cell_angle_alpha 90.00
_cell_angle_beta 90.00
_cell_angle_gamma 90.00
loop_
_atom_site_label
_atom_site_fract_x
_atom_site_fract_y
_atom_site_fract_z
_atom_site_occupancy
Pm1 0.000 0.000 0.000 1
Sm1 0.250 0.250 0.250 1
Eu1 0.000 0.000 0.500 1
```

[12]
The following is a PBE calculation of a geometry-optimized PmSm2Eu structure, from Alexandria.

- ΔE to the lowest computed polymorph: 0.025 eV per atom
- Size of the total moment: 7.1 μB per formula unit
- Final energy: -6.047 eV/atom
- ΔE_f: 0.28 eV/f.u.

Cell and atoms, written as CIF:
```
data_PmSm2Eu
_symmetry_space_group_name_H-M 'P 4/m m m'
_symmetry_Int_Tables_number 123
_symmetry_space_group_name_Hall '-P 4 2'
_cell_length_a 5.201
_cell_length_b 5.201
_cell_length_c 5.194
_cell_angle_alpha 90.00
_cell_angle_beta 90.00
_cell_angle_gamma 90.00
loop_
_atom_site_label
_atom_site_fract_x
_atom_site_fract_y
_atom_site_fract_z
_atom_site_occupancy
Pm1 0.000 0.000 0.000 1
Sm1 0.000 0.500 0.500 1
Eu1 0.500 0.500 0.000 1
```

[13]
The following is a PBE calculation of a geometry-optimized PmSm2Eu structure, from Alexandria.

- ΔE to the lowest computed polymorph: 0.000 eV per atom
- Size of the total moment: 7.5 μB per formula unit
- Final energy: -6.072 eV/atom
- ΔE_f: 0.18 eV/f.u.

Cell and atoms, written as CIF:
```
data_PmSm2Eu
_symmetry_space_group_name_H-M 'P 4/m m m'
_symmetry_Int_Tables_number 123
_symmetry_space_group_name_Hall '-P 4 2'
_cell_length_a 3.685
_cell_length_b 3.685
_cell_length_c 10.476
_cell_angle_alpha 90.00
_cell_angle_beta 90.00
_cell_angle_gamma 90.00
loop_
_atom_site_label
_atom_site_fract_x
_atom_site_fract_y
_atom_site_fract_z
_atom_site_occupancy
Pm1 0.000 0.000 0.000 1
Sm1 0.500 0.500 0.237 1
Eu1 0.000 0.000 0.500 1
```

[14]
The following is a PBE calculation of a geometry-optimized PmSmEuSn structure, from Alexandria.

- Size of the total moment: 7.7 μB per formula unit
- Final energy: -6.215 eV/atom
- ΔE_f: -1.11 eV/f.u.

Cell and atoms, written as CIF:
```
data_PmSmEuSn
_symmetry_space_group_name_H-M 'F -4 3 m'
_symmetry_Int_Tables_number 216
_symmetry_space_group_name_Hall 'F -4 2 3'
_cell_length_a 7.854
_cell_length_b 7.854
_cell_length_c 7.854
_cell_angle_alpha 90.00
_cell_angle_beta 90.00
_cell_angle_gamma 90.00
loop_
_atom_site_label
_atom_site_fract_x
_atom_site_fract_y
_atom_site_fract_z
_atom_site_occupancy
Pm1 0.000 0.000 0.000 1
Sm1 0.000 0.000 0.500 1
Eu1 0.250 0.250 0.750 1
Sn1 0.250 0.250 0.250 1
```

[15]
The following is a PBE calculation of a geometry-optimized SrPmSmEu structure, from Alexandria.

- Size of the total moment: 7.6 μB per formula unit
- Final energy: -5.169 eV/atom
- ΔE_f: 0.75 eV/f.u.

Cell and atoms, written as CIF:
```
data_SrPmSmEu
_symmetry_space_group_name_H-M 'F -4 3 m'
_symmetry_Int_Tables_number 216
_symmetry_space_group_name_Hall 'F -4 2 3'
_cell_length_a 8.575
_cell_length_b 8.575
_cell_length_c 8.575
_cell_angle_alpha 90.00
_cell_angle_beta 90.00
_cell_angle_gamma 90.00
loop_
_atom_site_label
_atom_site_fract_x
_atom_site_fract_y
_atom_site_fract_z
_atom_site_occupancy
Sr1 0.000 0.000 0.000 1
Pm1 0.250 0.250 0.750 1
Sm1 0.000 0.000 0.500 1
Eu1 0.250 0.250 0.250 1
```